The following is a GGA+U calculation of a relaxed CrTeN2O crystal, from Alexandria.

a = 3.9129 Å, b = 3.9129 Å, c = 3.8267 Å
α = 90.00°, β = 90.00°, γ = 90.00°
Last column: nearest neighbours and their distance in Å.
Space group P4/mmm (No. 123)
One atom of each set of equivalent atoms:
Cr1 0.0000 0.0000 0.0000 (multiplicity 1)  2 O 1.91, 4 N 1.96
Te1 0.5000 0.5000 0.5000 (multiplicity 1)  8 N 2.74, 4 O 2.77
N1 0.0000 0.5000 0.0000 (multiplicity 2)  2 Cr 1.96
O1 0.0000 0.0000 0.5000 (multiplicity 1)  2 Cr 1.91

Calculated values
energy = -29.55 eV per cell